[1]
Density functional theory data (PBE) for a relaxed structure of TaTeI.

The space group is C2/m (No. 12) and the conventional cell measures 6.333, 3.655 and 15.383 Å, with angles of 90.00, 97.91 and 90.00 degrees. Symmetry generates all atoms from Ta at (0.084, 0.000, 0.245), Te at (0.123, 0.500, 0.876) and I at (0.206, 0.000, 0.626).

The calculation puts the energy above the most stable polymorph in this dataset at 157 meV per atom. The calculation puts the energy relative to the elements, uncorrected at -0.1220 eV per atom.

=====

[2]
Density functional theory data (PBE) for a relaxed structure of MgPtW2.

The space group is Cm (No. 8) and the conventional cell measures 9.222, 2.724 and 5.197 Å, with angles of 90.00, 95.87 and 90.00 degrees. Symmetry generates all atoms from Mg at (0.000, 0.000, 0.000), Pt at (0.251, 0.000, 0.789), W at (0.019, 0.500, 0.501) and W at (0.260, 0.500, 0.273).

For the formation energy, the calculation gives 8.5 kJ/mol of atoms.

=====

[3]
Density functional theory data (PBE) for a relaxed structure of BaZn2Re.

The space group is Pmmm (No. 47) and the conventional cell measures 2.925, 5.225 and 5.708 Å, with angles of 90.00, 90.00 and 90.00 degrees. Symmetry generates all atoms from Ba at (0.000, 0.000, 0.000), Zn at (0.000, 0.500, 0.500), Zn at (0.500, 0.500, 0.000) and Re at (0.500, 0.000, 0.500).

The calculation puts the energy above the most stable polymorph in this dataset at 527 meV per atom. For the formation energy, the calculation gives 95.4 kJ/mol of atoms.

=====

[4]
Density functional theory data (PBE) for a relaxed structure of LiOs2Se.

The space group is Cmmm (No. 65) and the conventional cell measures 5.054, 8.103 and 2.904 Å, with angles of 90.00, 90.00 and 90.00 degrees. Symmetry generates all atoms from Li at (0.000, 0.000, 0.000), Os at (0.250, 0.250, 0.500) and Se at (0.000, 0.500, 0.000).

The calculation puts the energy relative to the elements, uncorrected at 0.7222 eV per atom.

=====

[5]
Density functional theory data (PBE) for a relaxed structure of LiZn8Ir2.

The space group is Cmmm (No. 65) and the conventional cell measures 7.865, 10.201 and 4.187 Å, with angles of 90.00, 90.00 and 90.00 degrees. Symmetry generates all atoms from Li at (0.000, 0.000, 0.000), Zn at (0.000, 0.243, 0.000), Zn at (0.167, 0.134, 0.500), Zn at (0.170, 0.500, 0.000) and Ir at (0.000, 0.373, 0.500).

For the formation energy, the calculation gives -8.9 kJ/mol of atoms.

=====

[6]
Density functional theory data (PBE) for a relaxed structure of CrCd2W.

The space group is I4/mmm (No. 139) and the conventional cell measures 3.921, 3.921 and 9.036 Å, with angles of 90.00, 90.00 and 90.00 degrees. Symmetry generates all atoms from Cr at (0.000, 0.000, 0.000), Cd at (0.000, 0.500, 0.250) and W at (0.000, 0.000, 0.500).

The calculation puts the energy above the most stable polymorph in this dataset at 311 meV per atom. For the formation energy, the calculation gives 65.7 kJ/mol of atoms.